(1)
# Si2PtWCl

Si2PtWCl after structural relaxation (PBE, Alexandria via LeMat-Bulk).

abc: 4.8917 4.8075 4.8917
angles: 90.00 90.00 90.00
With the nearest neighbours (Å) after each atom.
Fractional positions:
1 Si 0.0000 0.0000 0.5000  2 W 2.45
2 Si 0.5000 0.0000 0.0000  2 W 2.45
3 W 0.0000 0.0000 0.0000  2 Pt 2.40, 4 Si 2.45
4 Pt 0.0000 0.5000 0.0000  2 W 2.40
5 Cl 0.5000 0.5000 0.5000  8 Si 3.43, 4 Pt 3.46

Values from the calculation:
Space group: P4/mmm
Size of the total moment in μB/f.u.: 0.00
Formation energy without anion corrections in meV per atom: 851.5


(2)
# Tm12Co6Ni

Tm12Co6Ni after structural relaxation (PBE, Alexandria via LeMat-Bulk).

abc: 8.1414 8.1414 8.1414
angles: 109.47 109.47 109.47
With the nearest neighbours (Å) after each atom.
Fractional positions:
1 Tm 0.2976 0.1042 0.8067  3 Co 2.62-2.85
2 Tm 0.2976 0.4909 0.1933  3 Co 2.62-2.85
3 Tm 0.7024 0.5091 0.8067  3 Co 2.62-2.85
4 Tm 0.7024 0.8958 0.1933  3 Co 2.62-2.85
5 Tm 0.1042 0.8067 0.2976  3 Co 2.62-2.85
6 Tm 0.4909 0.1933 0.2976  3 Co 2.62-2.85
7 Tm 0.5091 0.8067 0.7024  3 Co 2.62-2.85
8 Tm 0.8958 0.1933 0.7024  3 Co 2.62-2.85
9 Tm 0.8067 0.2976 0.1042  3 Co 2.62-2.85
10 Tm 0.1933 0.2976 0.4909  3 Co 2.62-2.85
11 Tm 0.8067 0.7024 0.5091  3 Co 2.62-2.85
12 Tm 0.1933 0.7024 0.8958  3 Co 2.62-2.85
13 Co 0.3844 0.5000 0.8844  1 Co 2.17
14 Co 0.6156 0.5000 0.1156  1 Co 2.17
15 Co 0.5000 0.8844 0.3844  1 Co 2.17
16 Co 0.5000 0.1156 0.6156  1 Co 2.17
17 Co 0.8844 0.3844 0.5000  1 Co 2.17
18 Co 0.1156 0.6156 0.5000  1 Co 2.17
19 Ni 0.0000 0.0000 0.0000  12 Tm 3.34

Values from the calculation:
Space group: Im-3
Size of the total moment in μB/f.u.: 0.00
E_tot in eV per atom: -5.58


(3)
# ScAsPt2

ScAsPt2 after structural relaxation (PBE, Alexandria via LeMat-Bulk).

abc: 5.1017 5.1017 5.1017
angles: 134.35 134.21 66.65
With the nearest neighbours (Å) after each atom.
Fractional positions:
1 As 0.2500 0.7500 0.5000  4 Sc 2.80, 8 Pt 2.91
2 Pt 0.0003 0.0003 0.0000  4 Pt 2.80, 4 As 2.91, 4 Sc 2.91
3 Pt 0.4997 0.4997 0.0000  4 Pt 2.80, 4 As 2.91, 4 Sc 2.91
4 Sc 0.7500 0.2500 0.5000  4 As 2.80, 8 Pt 2.91

Values from the calculation:
Space group: Immm
Size of the total moment in μB/f.u.: 0.00
E_tot in eV per atom: -6.58


(4)
# ErLu2Sn

ErLu2Sn after structural relaxation (PBE, Alexandria via LeMat-Bulk).

abc: 3.5386 3.5386 8.9409
angles: 90.00 90.00 90.00
With the nearest neighbours (Å) after each atom.
Fractional positions:
1 Lu 0.0000 0.0000 0.7685  4 Sn 3.25, 4 Er 3.47, 4 Lu 3.54
2 Lu 0.0000 0.0000 0.2315  4 Sn 3.25, 4 Er 3.47, 4 Lu 3.54
3 Sn 0.5000 0.5000 0.0000  8 Lu 3.25, 4 Sn 3.54
4 Er 0.5000 0.5000 0.5000  8 Lu 3.47, 4 Er 3.54

Values from the calculation:
Space group: P4/mmm
Size of the total moment in μB/f.u.: 0.00
E_tot in eV per atom: -4.70


(5)
# Pm2PrDy9

Pm2PrDy9 after structural relaxation (PBE, Alexandria via LeMat-Bulk).

abc: 3.5239 11.3063 11.3063
angles: 120.00 90.00 90.00
With the nearest neighbours (Å) after each atom.
Fractional positions:
1 Pm 0.0000 0.3333 0.6667  9 Dy 3.26-3.55, 2 Pm 3.52
2 Pm 0.0000 0.6667 0.3333  9 Dy 3.26-3.55, 2 Pm 3.52
3 Pr 0.0000 0.0000 0.0000  2 Pr 3.52, 12 Dy 3.87
4 Dy 0.0000 0.0000 0.5000  2 Pm 3.26, 10 Dy 3.52-3.63
5 Dy 0.0000 0.5000 0.5000  2 Pm 3.26, 10 Dy 3.52-3.63
6 Dy 0.0000 0.5000 0.0000  2 Pm 3.26, 10 Dy 3.52-3.63
7 Dy 0.5000 0.3524 0.1762  8 Dy 3.45-3.63, 2 Pm 3.55
8 Dy 0.5000 0.1762 0.8238  8 Dy 3.45-3.63, 2 Pm 3.55
9 Dy 0.5000 0.1762 0.3524  8 Dy 3.45-3.63, 2 Pm 3.55
10 Dy 0.5000 0.8238 0.6476  8 Dy 3.45-3.63, 2 Pm 3.55
11 Dy 0.5000 0.8238 0.1762  8 Dy 3.45-3.63, 2 Pm 3.55
12 Dy 0.5000 0.6476 0.8238  8 Dy 3.45-3.63, 2 Pm 3.55

Values from the calculation:
Space group: P6/mmm
Size of the total moment in μB/f.u.: 0.00
E_tot in eV per atom: -4.59


(6)
# KZr2Tl

KZr2Tl after structural relaxation (PBE, Alexandria via LeMat-Bulk).

abc: 3.2175 3.2175 12.2563
angles: 90.00 90.00 117.94
With the nearest neighbours (Å) after each atom.
Fractional positions:
1 K 0.5000 0.5000 0.2500  6 K 3.22-3.32
2 Tl 0.5000 0.5000 0.7500  4 Zr 3.10, 6 Tl 3.22-3.32
3 Zr 0.0000 0.0000 0.9641  2 Tl 3.10, 6 Zr 3.22-3.32
4 Zr 0.0000 0.0000 0.5359  2 Tl 3.10, 6 Zr 3.22-3.32

Values from the calculation:
Space group: Cmmm
Size of the total moment in μB/f.u.: 0.00
E_tot in eV per atom: -4.66


(7)
# Pm4PrDyTm2

Pm4PrDyTm2 after structural relaxation (PBE, Alexandria via LeMat-Bulk).

abc: 9.5503 9.5503 11.8800
angles: 128.47 128.47 88.18
With the nearest neighbours (Å) after each atom.
Fractional positions:
1 Pm 0.2521 0.7480 0.9997  3 Tm 3.30-3.43, 1 Dy 3.35, 2 Pr 3.43, 2 Pm 3.43
2 Pm 0.7519 0.2479 0.5003  3 Tm 3.30-3.43, 1 Dy 3.35, 2 Pr 3.43, 2 Pm 3.43
3 Pm 0.2480 0.7521 0.4997  3 Tm 3.30-3.43, 1 Dy 3.35, 2 Pr 3.43, 2 Pm 3.43
4 Pm 0.7479 0.2520 0.0003  3 Tm 3.30-3.43, 1 Dy 3.35, 2 Pr 3.43, 2 Pm 3.43
5 Pm 0.7426 0.7500 0.9975  3 Tm 3.27-3.43, 1 Pr 3.37, 2 Dy 3.43-3.45, 2 Pm 3.43
6 Pm 0.7500 0.7574 0.5025  3 Tm 3.27-3.43, 1 Pr 3.37, 2 Dy 3.43-3.45, 2 Pm 3.43
7 Pm 0.2500 0.2426 0.4975  3 Tm 3.27-3.43, 1 Pr 3.37, 2 Dy 3.43-3.45, 2 Pm 3.43
8 Pm 0.2574 0.2500 0.0025  3 Tm 3.27-3.43, 1 Pr 3.37, 2 Dy 3.43-3.45, 2 Pm 3.43
9 Pr 0.0000 0.5000 0.0000  6 Pm 3.37-3.43, 2 Tm 3.43
10 Pr 0.0000 0.5000 0.5000  6 Pm 3.37-3.43, 2 Tm 3.43
11 Dy 0.5000 0.5000 0.5000  6 Pm 3.35-3.45, 2 Dy 3.43
12 Dy 0.0000 0.0000 0.0000  6 Pm 3.35-3.45, 2 Dy 3.43
13 Tm 0.5000 0.0000 0.0000  6 Pm 3.27-3.43, 2 Pr 3.43
14 Tm 0.5000 0.0000 0.5000  6 Pm 3.27-3.43, 2 Pr 3.43
15 Tm 0.0000 0.0000 0.5000  6 Pm 3.30-3.43, 2 Tm 3.43
16 Tm 0.5000 0.5000 0.0000  6 Pm 3.30-3.43, 2 Tm 3.43

Values from the calculation:
Space group: C2/c
Size of the total moment in μB/f.u.: 0.00
E_tot in eV per atom: -4.27


(8)
# NaScReC2

NaScReC2 after structural relaxation (PBE, Alexandria via LeMat-Bulk).

abc: 4.4010 5.0221 4.4010
angles: 90.00 90.00 90.00
With the nearest neighbours (Å) after each atom.
Fractional positions:
1 Sc 0.0000 0.0000 0.0000  4 C 2.20
2 Re 0.0000 0.5000 0.0000  2 Sc 2.51
3 C 0.0000 0.0000 0.5000  2 Sc 2.20
4 C 0.5000 0.0000 0.0000  2 Sc 2.20
5 Na 0.5000 0.5000 0.5000  4 Re 3.11, 8 C 3.34

Values from the calculation:
Space group: P4/mmm
Size of the total moment in μB/f.u.: 2.88
E_tot in eV per atom: -5.27


(9)
# Pr2B4Ir3

Pr2B4Ir3 after structural relaxation (PBE, Alexandria via LeMat-Bulk).

abc: 5.5658 5.5658 5.6648
angles: 104.36 104.36 119.68
With the nearest neighbours (Å) after each atom.
Fractional positions:
1 Pr 0.6557 0.6557 0.3114  4 B 2.71-2.74
2 Pr 0.3443 0.3443 0.6886  4 B 2.71-2.74
3 B 0.0531 0.6157 0.6688  1 B 1.77
4 B 0.6157 0.0531 0.6688  1 B 1.77
5 B 0.9469 0.3843 0.3312  1 B 1.77
6 B 0.3843 0.9469 0.3312  1 B 1.77
7 Ir 0.5000 0.0000 0.0000  4 B 2.17
8 Ir 0.0000 0.0000 0.0000  4 B 2.66, 4 Ir 2.78
9 Ir 0.0000 0.5000 0.0000  4 B 2.17

Values from the calculation:
Space group: Fmmm
Size of the total moment in μB/f.u.: 0.00
E_tot in eV per atom: -7.13


(10)
# Sm2TlSe

Sm2TlSe after structural relaxation (PBE, Alexandria via LeMat-Bulk).

abc: 3.9912 3.9912 8.7034
angles: 76.74 76.74 60.00
With the nearest neighbours (Å) after each atom.
Fractional positions:
1 Sm 0.0704 0.0704 0.7889  3 Se 2.89
2 Sm 0.2627 0.2627 0.2120  3 Se 2.92
3 Tl 0.4995 0.4995 0.5014  6 Sm 3.34-3.35
4 Se 0.6675 0.6675 0.9976  6 Sm 2.89-2.92

Values from the calculation:
Space group: R3m
Size of the total moment in μB/f.u.: 0.00
Formation energy without anion corrections in meV per atom: -1023.9